a | First-principles (PBE-GGA) data for crystalline LiMg3Al at its relaxed geometry, as listed in the Alexandria database.

Lattice parameters (Å, degrees): 5.228 5.228 5.228 90.00 90.00 90.00
Space group Pm-3m (No. 221)
Unique sites:
Li1 0.000 0.000 0.000 (multiplicity 1)
Mg1 0.000 0.500 0.500 (multiplicity 3)
Al1 0.500 0.500 0.500 (multiplicity 1)

Results
As for the density of states at the Fermi level: 2.6 states/eV/cell. Its total magnetization is 0.0000 μB per atom. As for the mass density: 1.2 g cm⁻³.



b | First-principles (PBE-GGA) data for crystalline LiMg3Al at its relaxed geometry, as listed in the Alexandria database.

Lattice parameters (Å, degrees): 10.206 5.726 14.376 90.00 94.13 90.00
Space group C2/c (No. 15)
Unique sites:
Li1 0.000 0.184 0.250 (multiplicity 4)
Li2 0.250 0.250 0.000 (multiplicity 4)
Mg1 0.064 0.496 0.105 (multiplicity 8)
Mg2 0.172 0.255 0.791 (multiplicity 8)
Mg3 0.181 0.239 0.408 (multiplicity 8)
Al1 0.064 0.016 0.588 (multiplicity 8)

Results
As for the density of states at the Fermi level: 12.9 states/eV/cell. Its total magnetization is 0.0000 μB per atom. As for the mass density: 1.7 g cm⁻³.



Which is the most stable structure? b is the most stable.



a | First-principles (PBE-GGA) data for crystalline Li2Mg4Al at its relaxed geometry, as listed in the Alexandria database.

Lattice parameters (Å, degrees): 7.230 8.974 4.560 90.00 90.00 90.00
Space group Pbam (No. 55)
Unique sites:
Li1 0.003 0.203 0.000 (multiplicity 4)
Mg1 0.206 0.496 0.000 (multiplicity 4)
Mg2 0.243 0.745 0.500 (multiplicity 4)
Al1 0.000 0.000 0.500 (multiplicity 2)

Results
As for the density of states at the Fermi level: 5.8 states/eV/cell. Its total magnetization is 0.0000 μB per atom. As for the mass density: 1.5 g cm⁻³.



b | First-principles (PBE-GGA) data for crystalline Li2Mg4Al at its relaxed geometry, as listed in the Alexandria database.

Lattice parameters (Å, degrees): 6.004 6.057 8.099 90.00 90.00 90.00
Space group Immm (No. 71)
Unique sites:
Li1 0.202 0.000 0.000 (multiplicity 4)
Mg1 0.000 0.239 0.305 (multiplicity 8)
Al1 0.000 0.500 0.000 (multiplicity 2)

Results
As for the density of states at the Fermi level: 5.3 states/eV/cell. Its total magnetization is 0.0000 μB per atom. As for the mass density: 1.6 g cm⁻³.



Which is the most stable structure? a is the most stable.



a | First-principles (PBE-GGA) data for crystalline Li5Mg4Al2 at its relaxed geometry, as listed in the Alexandria database.

Lattice parameters (Å, degrees): 7.439 2.975 9.837 90.00 93.08 90.00
Space group P2/m (No. 10)
Unique sites:
Li1 0.000 0.000 0.000 (multiplicity 1)
Li2 0.073 0.000 0.293 (multiplicity 2)
Li3 0.294 0.000 0.828 (multiplicity 2)
Mg1 0.216 0.500 0.554 (multiplicity 2)
Mg2 0.343 0.500 0.108 (multiplicity 2)
Al1 0.443 0.000 0.365 (multiplicity 2)

Results
As for the density of states at the Fermi level: 3.4 states/eV/cell. Its total magnetization is 0.0000 μB per atom. As for the mass density: 1.4 g cm⁻³.



b | First-principles (PBE-GGA) data for crystalline Li5Mg4Al2 at its relaxed geometry, as listed in the Alexandria database.

Lattice parameters (Å, degrees): 15.644 4.710 5.529 90.00 90.60 90.00
Space group C2/m (No. 12)
Unique sites:
Li1 0.000 0.000 0.000 (multiplicity 2)
Li2 0.135 0.500 0.796 (multiplicity 4)
Li3 0.229 0.500 0.378 (multiplicity 4)
Mg1 0.048 0.500 0.263 (multiplicity 4)
Mg2 0.182 0.000 0.078 (multiplicity 4)
Al1 0.089 0.000 0.553 (multiplicity 4)

Results
As for the density of states at the Fermi level: 5.9 states/eV/cell. Its total magnetization is 0.0000 μB per atom. As for the mass density: 1.5 g cm⁻³.



Which is the most stable structure? b is the most stable.



a | First-principles (PBE-GGA) data for crystalline Li3Mg6Al at its relaxed geometry, as listed in the Alexandria database.

Lattice parameters (Å, degrees): 9.816 16.497 5.391 90.00 90.00 90.00
Space group Cmc2_1 (No. 36)
Unique sites:
Li1 0.000 0.113 0.000 (multiplicity 4)
Li2 0.156 0.390 0.327 (multiplicity 8)
Mg1 0.000 0.211 0.552 (multiplicity 4)
Mg2 0.000 0.442 0.830 (multiplicity 4)
Mg3 0.159 0.041 0.452 (multiplicity 8)
Mg4 0.245 0.295 0.763 (multiplicity 8)
Al1 0.000 0.281 0.054 (multiplicity 4)

Results
As for the density of states at the Fermi level: 15.6 states/eV/cell. Its total magnetization is 0.0000 μB per atom. As for the mass density: 1.5 g cm⁻³.



b | First-principles (PBE-GGA) data for crystalline Li3Mg6Al at its relaxed geometry, as listed in the Alexandria database.

Lattice parameters (Å, degrees): 8.096 4.951 10.927 90.00 109.29 90.00
Space group P2_1/m (No. 11)
Unique sites:
Li1 0.110 0.250 0.234 (multiplicity 2)
Li2 0.305 0.250 0.031 (multiplicity 2)
Li3 0.314 0.750 0.376 (multiplicity 2)
Mg1 0.081 0.250 0.718 (multiplicity 2)
Mg2 0.096 0.750 0.075 (multiplicity 2)
Mg3 0.282 0.750 0.864 (multiplicity 2)
Mg4 0.288 0.250 0.523 (multiplicity 2)
Mg5 0.496 0.750 0.668 (multiplicity 2)
Mg6 0.497 0.750 0.166 (multiplicity 2)
Al1 0.098 0.750 0.567 (multiplicity 2)

Results
As for the density of states at the Fermi level: 7.3 states/eV/cell. Its total magnetization is 0.0000 μB per atom. As for the mass density: 1.6 g cm⁻³.



Which is the most stable structure? b is the most stable.



a | First-principles (PBE-GGA) data for crystalline Li7Mg3Al2 at its relaxed geometry, as listed in the Alexandria database.

Lattice parameters (Å, degrees): 4.299 26.109 4.289 90.00 90.00 90.00
Space group Cmmm (No. 65)
Unique sites:
Li1 0.000 0.000 0.000 (multiplicity 2)
Li2 0.000 0.080 0.500 (multiplicity 4)
Li3 0.000 0.272 0.000 (multiplicity 4)
Li4 0.000 0.416 0.000 (multiplicity 4)
Mg1 0.000 0.342 0.500 (multiplicity 4)
Mg2 0.000 0.500 0.500 (multiplicity 2)
Al1 0.000 0.157 0.000 (multiplicity 4)

Results
As for the density of states at the Fermi level: 10.3 states/eV/cell. Its total magnetization is 0.0000 μB per atom. As for the mass density: 1.2 g cm⁻³.



b | First-principles (PBE-GGA) data for crystalline Li7Mg3Al2 at its relaxed geometry, as listed in the Alexandria database.

Lattice parameters (Å, degrees): 4.670 3.090 16.178 90.00 97.65 90.00
Space group P2/m (No. 10)
Unique sites:
Li1 0.000 0.000 0.000 (multiplicity 1)
Li2 0.098 0.500 0.181 (multiplicity 2)
Li3 0.272 0.500 0.545 (multiplicity 2)
Li4 0.418 0.000 0.853 (multiplicity 2)
Mg1 0.181 0.000 0.358 (multiplicity 2)
Mg2 0.500 0.500 0.000 (multiplicity 1)
Al1 0.353 0.500 0.714 (multiplicity 2)

Results
As for the density of states at the Fermi level: 4.9 states/eV/cell. Its total magnetization is 0.0000 μB per atom. As for the mass density: 1.3 g cm⁻³.



Which is the most stable structure? b is the most stable.



a | First-principles (PBE-GGA) data for crystalline Li7Mg3Al at its relaxed geometry, as listed in the Alexandria database.

Lattice parameters (Å, degrees): 6.0203 6.0203 7.2983 90.00 90.00 120.00
Space group P3m1 (No. 156)
Unique sites:
Li1 0.0000 0.0000 0.0000 (multiplicity 1)
Li2 0.1690 0.3379 0.3332 (multiplicity 3)
Li3 0.5022 0.0043 0.0065 (multiplicity 3)
Mg1 0.3353 0.1676 0.6655 (multiplicity 3)
Al1 0.6667 0.3333 0.3267 (multiplicity 1)

Results
As for the density of states at the Fermi level: 7.1 states/eV/cell. Its total magnetization is 0.0000 μB per atom. As for the mass density: 1.1 g cm⁻³.



b | First-principles (PBE-GGA) data for crystalline Li7Mg3Al at its relaxed geometry, as listed in the Alexandria database.

Lattice parameters (Å, degrees): 2.942 20.390 14.497 90.00 90.00 90.00
Space group Cmcm (No. 63)
Unique sites:
Li1 0.000 0.005 0.091 (multiplicity 8)
Li2 0.000 0.096 0.750 (multiplicity 4)
Li3 0.000 0.129 0.155 (multiplicity 8)
Li4 0.000 0.243 0.077 (multiplicity 8)
Mg1 0.000 0.242 0.750 (multiplicity 4)
Mg2 0.000 0.379 0.041 (multiplicity 8)
Al1 0.000 0.474 0.750 (multiplicity 4)

Results
As for the density of states at the Fermi level: 18.9 states/eV/cell. Its total magnetization is 0.0000 μB per atom. As for the mass density: 1.1 g cm⁻³.



Which is the most stable structure? b is the most stable.



a | First-principles (PBE-GGA) data for crystalline Li9Mg2Al at its relaxed geometry, as listed in the Alexandria database.

Lattice parameters (Å, degrees): 9.6158 9.6158 2.8581 90.00 90.00 120.00
Space group P6/mmm (No. 191)
Unique sites:
Li1 0.0000 0.5000 0.0000 (multiplicity 3)
Li2 0.1609 0.3218 0.5000 (multiplicity 6)
Mg1 0.3333 0.6667 0.0000 (multiplicity 2)
Al1 0.0000 0.0000 0.0000 (multiplicity 1)

Results
As for the density of states at the Fermi level: 5.8 states/eV/cell. Its total magnetization is 0.0000 μB per atom. As for the mass density: 1.0 g cm⁻³.



b | First-principles (PBE-GGA) data for crystalline Li9Mg2Al at its relaxed geometry, as listed in the Alexandria database.

Lattice parameters (Å, degrees): 10.275 5.844 7.876 90.00 103.95 90.00
Space group C2/m (No. 12)
Unique sites:
Li1 0.000 0.000 0.000 (multiplicity 2)
Li2 0.098 0.294 0.226 (multiplicity 8)
Li3 0.100 0.000 0.685 (multiplicity 4)
Li4 0.237 0.000 0.441 (multiplicity 4)
Mg1 0.186 0.500 0.904 (multiplicity 4)
Al1 0.000 0.500 0.500 (multiplicity 2)

Results
As for the density of states at the Fermi level: 8.0 states/eV/cell. Its total magnetization is 0.0000 μB per atom. As for the mass density: 1.0 g cm⁻³.



Which is the most stable structure? a is the most stable.



a | First-principles (PBE-GGA) data for crystalline Li5Mg4Al at its relaxed geometry, as listed in the Alexandria database.

Lattice parameters (Å, degrees): 14.655 2.971 9.854 90.00 109.09 90.00
Space group C2/m (No. 12)
Unique sites:
Li1 0.000 0.000 0.000 (multiplicity 2)
Li2 0.191 0.500 0.086 (multiplicity 4)
Li3 0.198 0.500 0.612 (multiplicity 4)
Mg1 0.093 0.500 0.303 (multiplicity 4)
Mg2 0.106 0.000 0.804 (multiplicity 4)
Al1 0.000 0.000 0.500 (multiplicity 2)

Results
As for the density of states at the Fermi level: 7.4 states/eV/cell. Its total magnetization is 0.0000 μB per atom. As for the mass density: 1.3 g cm⁻³.



b | First-principles (PBE-GGA) data for crystalline Li5Mg4Al at its relaxed geometry, as listed in the Alexandria database.

Lattice parameters (Å, degrees): 8.877 8.877 5.125 90.00 90.00 90.00
Space group I4mm (No. 107)
Unique sites:
Li1 0.000 0.000 0.000 (multiplicity 2)
Li2 0.181 0.181 0.249 (multiplicity 8)
Mg1 0.000 0.318 0.732 (multiplicity 8)
Al1 0.000 0.000 0.525 (multiplicity 2)

Results
As for the density of states at the Fermi level: 4.0 states/eV/cell. Its total magnetization is 0.0000 μB per atom. As for the mass density: 1.3 g cm⁻³.



Which is the most stable structure? a is the most stable.



a | First-principles (PBE-GGA) data for crystalline Li6MgAl2 at its relaxed geometry, as listed in the Alexandria database.

Lattice parameters (Å, degrees): 13.612 5.328 4.894 90.00 104.59 90.00
Space group C2/m (No. 12)
Unique sites:
Li1 0.106 0.249 0.049 (multiplicity 8)
Li2 0.216 0.000 0.617 (multiplicity 4)
Mg1 0.000 0.000 0.500 (multiplicity 2)
Al1 0.103 0.500 0.543 (multiplicity 4)

Results
As for the density of states at the Fermi level: 4.8 states/eV/cell. Its total magnetization is 0.0000 μB per atom. As for the mass density: 1.2 g cm⁻³.



b | First-principles (PBE-GGA) data for crystalline Li6MgAl2 at its relaxed geometry, as listed in the Alexandria database.

Lattice parameters (Å, degrees): 8.0091 8.0091 8.3413 90.00 90.00 120.00
Space group R-3m (No. 166, hexagonal axes)
Unique sites:
Li1 0.0000 0.3291 0.0000 (multiplicity 18)
Mg1 0.0000 0.0000 0.5000 (multiplicity 3)
Al1 0.0000 0.0000 0.1618 (multiplicity 6)

Results
As for the density of states at the Fermi level: 10.2 states/eV/cell. Its total magnetization is 0.0000 μB per atom. As for the mass density: 1.3 g cm⁻³.



Which is the most stable structure? b is the most stable.



a | First-principles (PBE-GGA) data for crystalline Li2Mg8Al at its relaxed geometry, as listed in the Alexandria database.

Lattice parameters (Å, degrees): 16.016 4.621 6.400 90.00 98.71 90.00
Space group C2/m (No. 12)
Unique sites:
Li1 0.136 0.000 0.171 (multiplicity 4)
Mg1 0.040 0.000 0.740 (multiplicity 4)
Mg2 0.092 0.500 0.436 (multiplicity 4)
Mg3 0.178 0.500 0.918 (multiplicity 4)
Mg4 0.220 0.000 0.627 (multiplicity 4)
Al1 0.000 0.500 0.000 (multiplicity 2)

Results
As for the density of states at the Fermi level: 7.5 states/eV/cell. Its total magnetization is 0.0000 μB per atom. As for the mass density: 1.7 g cm⁻³.



b | First-principles (PBE-GGA) data for crystalline Li2Mg8Al at its relaxed geometry, as listed in the Alexandria database.

Lattice parameters (Å, degrees): 4.839 4.839 10.517 90.00 90.00 90.00
Space group P4/mmm (No. 123)
Unique sites:
Li1 0.000 0.000 0.183 (multiplicity 2)
Mg1 0.000 0.500 0.000 (multiplicity 2)
Mg2 0.000 0.500 0.352 (multiplicity 4)
Mg3 0.500 0.500 0.170 (multiplicity 2)
Al1 0.000 0.000 0.500 (multiplicity 1)

Results
As for the density of states at the Fermi level: 2.8 states/eV/cell. Its total magnetization is 0.0000 μB per atom. As for the mass density: 1.6 g cm⁻³.



Which is the most stable structure? a is the most stable.